{
  "formula": "FeTcO3",
  "functional": "PBE+U",
  "state": "optimized geometry",
  "lattice": [[-0.772, 1.004, 3.462], [2.398, -2.501, 1.260], [2.692, 2.516, -0.130]],
  "species": ["O", "O", "O", "Fe", "Tc"],
  "fractional_positions": [[0.000, 0.500, 0.000], [0.000, 0.000, 0.500], [0.500, 0.000, 0.000], [0.000, 0.000, 0.000], [0.500, 0.500, 0.500]],
  "final_energy_ev_per_cell": -30.232,
  "n_ef_per_ev_fu": 7.5
}